VASP calculation (PBE) on a relaxed Dy6Er3Cd crystal.

Energy above the most stable polymorph in this dataset ... 99 meV per atom
Energy of formation from the pure elements ... 0.0817 eV per atom
Energy ... -82.80 eV per cell

a b c (Å): 8.4531 8.4531 9.1973
angles (deg): 90.00 90.00 111.48
Fractional coordinates of all 20 atoms:
Dy (0.0678, 0.9322, 0.5000)
Dy (0.1231, 0.2823, 0.6845)
Dy (0.1733, 0.4759, 0.0247)
Dy (0.2823, 0.1231, 0.1845)
Dy (0.3029, 0.6971, 0.6201)
Dy (0.4759, 0.1733, 0.5247)
Dy (0.5241, 0.8267, 0.0247)
Dy (0.6971, 0.3029, 0.1201)
Dy (0.7177, 0.8769, 0.6845)
Dy (0.8267, 0.5241, 0.5247)
Dy (0.8769, 0.7177, 0.1845)
Dy (0.9322, 0.0678, 0.0000)
Er (0.0342, 0.3211, 0.3392)
Er (0.3211, 0.0342, 0.8392)
Er (0.4731, 0.5269, 0.3354)
Er (0.5269, 0.4731, 0.8354)
Er (0.6789, 0.9658, 0.3392)
Er (0.9658, 0.6789, 0.8392)
Cd (0.2496, 0.7504, 0.2853)
Cd (0.7504, 0.2496, 0.7853)

VASP calculation (PBE) on a relaxed Pr3Dy2Pb4 crystal.

Energy above the most stable polymorph in this dataset ... 42 meV per atom
Energy of formation from the pure elements ... -0.4344 eV per atom
Energy ... -42.29 eV per cell

a b c (Å): 7.3624 7.3624 10.2137
angles (deg): 117.13 117.13 37.18
Fractional coordinates of all 9 atoms:
Pr (0.0000, 0.0000, 0.0000)
Pr (0.3721, 0.3721, 0.3029)
Pr (0.6279, 0.6279, 0.6971)
Dy (0.3234, 0.3234, 0.6548)
Dy (0.6766, 0.6766, 0.3452)
Pb (0.0666, 0.0666, 0.4088)
Pb (0.3044, 0.3044, 0.9435)
Pb (0.6956, 0.6956, 0.0565)
Pb (0.9334, 0.9334, 0.5912)

VASP calculation (PBE) on a relaxed BaGa2Sn2 crystal.

Energy above the most stable polymorph in this dataset ... 131 meV per atom
Energy of formation from the pure elements ... -0.2548 eV per atom
Energy ... -34.51 eV per cell

a b c (Å): 8.5304 8.5304 3.7384
angles (deg): 90.00 90.00 90.00
Fractional coordinates of all 10 atoms:
Ba (0.0000, 0.0000, 0.0000)
Ba (0.5000, 0.5000, 0.0000)
Ga (0.1235, 0.3765, 0.0000)
Ga (0.3765, 0.8765, 0.0000)
Ga (0.6235, 0.1235, 0.0000)
Ga (0.8765, 0.6235, 0.0000)
Sn (0.1561, 0.6561, 0.5000)
Sn (0.3439, 0.1561, 0.5000)
Sn (0.6561, 0.8439, 0.5000)
Sn (0.8439, 0.3439, 0.5000)

VASP calculation (PBE) on a relaxed LiH3Pd6 crystal.

Energy above the most stable polymorph in this dataset ... 0 meV per atom
Energy ... -89.27 eV per cell

a b c (Å): 9.1249 2.8056 9.2066
angles (deg): 90.00 105.59 90.00
Fractional coordinates of all 20 atoms:
Li (0.1024, 0.2500, 0.3995)
Li (0.8976, 0.7500, 0.6005)
H (0.0725, 0.2500, 0.6895)
H (0.1870, 0.7500, 0.0316)
H (0.4239, 0.2500, 0.3319)
H (0.5761, 0.7500, 0.6681)
H (0.8130, 0.2500, 0.9684)
H (0.9275, 0.7500, 0.3105)
Pd (0.0515, 0.2500, 0.8812)
Pd (0.1874, 0.7500, 0.6660)
Pd (0.2376, 0.2500, 0.1820)
Pd (0.3557, 0.7500, 0.4611)
Pd (0.3579, 0.7500, 0.9629)
Pd (0.4644, 0.2500, 0.7418)
Pd (0.5356, 0.7500, 0.2582)
Pd (0.6421, 0.2500, 0.0371)
Pd (0.6443, 0.2500, 0.5389)
Pd (0.7624, 0.7500, 0.8180)
Pd (0.8126, 0.2500, 0.3340)
Pd (0.9485, 0.7500, 0.1188)

VASP calculation (PBE) on a relaxed HfBePtN2 crystal.

Raw formation energy ... 1052 meV/atom
Energy ... -31.11 eV per cell

a b c (Å): 4.0451 4.0451 3.9572
angles (deg): 90.00 90.00 90.00
Fractional coordinates of all 5 atoms:
Hf (0.0000, 0.0000, 0.0000)
Be (0.5000, 0.5000, 0.0000)
Pt (0.5000, 0.5000, 0.5000)
N (0.0000, 0.5000, 0.5000)
N (0.5000, 0.0000, 0.5000)

VASP calculation (PBE) on a relaxed Tb8Al2Os crystal.

Energy of formation from the pure elements ... -0.1989 eV per atom
Energy ... -57.94 eV per cell

a b c (Å): 9.2096 9.2096 6.9213
angles (deg): 109.82 109.82 32.82
Fractional coordinates of all 11 atoms:
Tb (0.0157, 0.0157, 0.2830)
Tb (0.2015, 0.2015, 0.7805)
Tb (0.3488, 0.3488, 0.5590)
Tb (0.4038, 0.4038, 0.0757)
Tb (0.5962, 0.5962, 0.9243)
Tb (0.6512, 0.6512, 0.4410)
Tb (0.7985, 0.7985, 0.2195)
Tb (0.9843, 0.9843, 0.7170)
Al (0.1801, 0.1801, 0.1990)
Al (0.8199, 0.8199, 0.8010)
Os (0.5000, 0.5000, 0.5000)

VASP calculation (PBE) on a relaxed ScBBr2 crystal.

Raw formation energy ... -80 meV/atom
Energy above the most stable polymorph in this dataset ... 0 meV per atom
Energy ... -33.35 eV per cell

a b c (Å): 7.4234 7.4234 7.4234
angles (deg): 95.94 95.94 142.48
Fractional coordinates of all 8 atoms:
Sc (0.0000, 0.0000, 0.0000)
Sc (0.7500, 0.2500, 0.5000)
B (0.2500, 0.7500, 0.5000)
B (0.5000, 0.5000, 0.0000)
Br (0.3750, 0.2039, 0.3289)
Br (0.7961, 0.1250, 0.1711)
Br (0.8750, 0.0461, 0.6711)
Br (0.9539, 0.6250, 0.8289)

VASP calculation (PBE) on a relaxed KThTl2 crystal.

Energy above the most stable polymorph in this dataset ... 87 meV per atom
Energy of formation from the pure elements ... 0.0244 eV per atom
Energy ... -13.15 eV per cell

a b c (Å): 11.9470 11.9470 11.9470
angles (deg): 17.10 17.10 17.10
Fractional coordinates of all 4 atoms:
K (0.0000, 0.0000, 0.0000)
Th (0.5000, 0.5000, 0.5000)
Tl (0.2480, 0.2480, 0.2480)
Tl (0.7520, 0.7520, 0.7520)

VASP calculation (PBE) on a relaxed As2OsSeO crystal.

Raw formation energy ... 737 meV/atom
Energy above the most stable polymorph in this dataset ... 0 meV per atom
Energy ... -25.29 eV per cell

a b c (Å): 4.2131 4.2131 4.3873
angles (deg): 90.00 90.00 90.00
Fractional coordinates of all 5 atoms:
As (0.0000, 0.5000, 0.0000)
As (0.5000, 0.0000, 0.0000)
Os (0.0000, 0.0000, 0.5000)
Se (0.5000, 0.5000, 0.5000)
O (0.5000, 0.5000, 0.0000)

VASP calculation (PBE) on a relaxed Sr3Si2Ir3 crystal.

Raw formation energy ... -585 meV/atom
Energy ... -188.62 eV per cell

a b c (Å): 8.0043 14.6818 6.0581
angles (deg): 90.00 90.00 90.00
Fractional coordinates of all 32 atoms:
Sr (0.0216, 0.1104, 0.1307)
Sr (0.0216, 0.3896, 0.1307)
Sr (0.1748, 0.2500, 0.5848)
Sr (0.3252, 0.7500, 0.0848)
Sr (0.4784, 0.6104, 0.6307)
Sr (0.4784, 0.8896, 0.6307)
Sr (0.5216, 0.1104, 0.3693)
Sr (0.5216, 0.3896, 0.3693)
Sr (0.6748, 0.2500, 0.9152)
Sr (0.8252, 0.7500, 0.4152)
Sr (0.9784, 0.6104, 0.8693)
Sr (0.9784, 0.8896, 0.8693)
Si (0.1337, 0.5928, 0.3763)
Si (0.1337, 0.9072, 0.3763)
Si (0.3663, 0.0928, 0.8763)
Si (0.3663, 0.4072, 0.8763)
Si (0.6337, 0.5928, 0.1237)
Si (0.6337, 0.9072, 0.1237)
Si (0.8663, 0.0928, 0.6237)
Si (0.8663, 0.4072, 0.6237)
Ir (0.1523, 0.0396, 0.6174)
Ir (0.1523, 0.4604, 0.6174)
Ir (0.1762, 0.7500, 0.5277)
Ir (0.3238, 0.2500, 0.0277)
Ir (0.3477, 0.5396, 0.1174)
Ir (0.3477, 0.9604, 0.1174)
Ir (0.6523, 0.0396, 0.8826)
Ir (0.6523, 0.4604, 0.8826)
Ir (0.6762, 0.7500, 0.9723)
Ir (0.8238, 0.2500, 0.4723)
Ir (0.8477, 0.5396, 0.3826)
Ir (0.8477, 0.9604, 0.3826)

VASP calculation (PBE) on a relaxed Ga2BrCl crystal.

Raw formation energy ... -581 meV/atom
Energy above the most stable polymorph in this dataset ... 0 meV per atom
Energy ... -11.90 eV per cell

a b c (Å): 7.9734 7.9734 7.9734
angles (deg): 30.98 30.98 30.98
Fractional coordinates of all 4 atoms:
Ga (0.0000, 0.0000, 0.0000)
Ga (0.1742, 0.1742, 0.1742)
Br (0.7552, 0.7552, 0.7552)
Cl (0.5862, 0.5862, 0.5862)

VASP calculation (PBE) on a relaxed BaCa2Tl crystal.

Energy above the most stable polymorph in this dataset ... 55 meV per atom
Energy of formation from the pure elements ... -0.1977 eV per atom
Energy ... -9.08 eV per cell

a b c (Å): 3.9624 3.9624 10.2699
angles (deg): 90.00 90.00 90.00
Fractional coordinates of all 4 atoms:
Ba (0.0000, 0.0000, 0.0000)
Ca (0.5000, 0.5000, 0.3168)
Ca (0.5000, 0.5000, 0.6832)
Tl (0.0000, 0.0000, 0.5000)